1.
First-principles (GGA-PBE) data for a geometry-optimized AcSm2HoSb4 structure, as listed in Alexandria.

POSCAR file:
```
AcSm2HoSb4
1.0
-2.785 2.835 2.189
-6.177 -3.357 -3.510
-2.590 -5.950 4.412
Ac Sm Ho Sb
1 2 1 4
Direct
0.500 0.500 0.000 Ac
0.000 0.000 0.000 Sm
0.500 0.000 0.500 Sm
0.000 0.500 0.500 Ho
0.000 0.760 0.736 Sb
0.000 0.240 0.264 Sb
0.500 0.751 0.260 Sb
0.500 0.249 0.740 Sb
```

Calculated values
Density of states at the Fermi level ... 0.91 states/eV/cell
Calculated volume ... 32.98 Å³/atom
Formation energy from raw total energies ... -1137 meV/atom

***

2.
First-principles (GGA-PBE) data for a geometry-optimized Ac2TbHoSb4 structure, as listed in Alexandria.

POSCAR file:
```
Ac2TbHoSb4
1.0
-2.798 -1.903 3.112
-4.949 -2.238 -5.817
5.343 -5.741 1.292
Ac Tb Ho Sb
2 1 1 4
Direct
0.500 0.000 0.500 Ac
0.000 0.500 0.500 Ac
0.000 0.000 0.000 Tb
0.500 0.500 0.000 Ho
0.500 0.243 0.227 Sb
0.500 0.757 0.773 Sb
0.000 0.259 0.774 Sb
0.000 0.741 0.226 Sb
```

Calculated values
Density of states at the Fermi level ... 1.11 states/eV/cell
Calculated volume ... 34.27 Å³/atom
Formation energy from raw total energies ... -1152 meV/atom

***

3.
First-principles (GGA-PBE) data for a geometry-optimized AcHoTh2Sb4 structure, as listed in Alexandria.

POSCAR file:
```
AcHoTh2Sb4
1.0
4.548 0.000 0.000
0.000 7.877 -0.155
0.000 2.773 7.367
Ac Ho Th Sb
1 1 2 4
Direct
0.500 0.500 0.000 Ac
0.000 0.500 0.500 Ho
0.000 0.000 0.000 Th
0.500 0.000 0.500 Th
0.000 0.758 0.737 Sb
0.000 0.242 0.263 Sb
0.500 0.750 0.260 Sb
0.500 0.250 0.740 Sb
```

Calculated values
Density of states at the Fermi level ... 4.52 states/eV/cell
Calculated volume ... 33.24 Å³/atom
Formation energy from raw total energies ... -1007 meV/atom

***

4.
First-principles (GGA-PBE) data for a geometry-optimized Ac3HoTh2Sb6 structure, as listed in Alexandria.

POSCAR file:
```
Ac3HoTh2Sb6
1.0
7.988 -0.005 0.000
-3.996 6.917 0.000
-1.332 -2.306 7.595
Ac Ho Th Sb
3 1 2 6
Direct
0.168 0.832 0.500 Ac
0.832 0.168 0.500 Ac
0.500 0.500 0.500 Ac
0.000 0.000 0.000 Ho
0.334 0.666 0.000 Th
0.666 0.334 0.000 Th
0.924 0.595 0.771 Sb
0.748 0.748 0.231 Sb
0.076 0.405 0.229 Sb
0.595 0.924 0.771 Sb
0.252 0.252 0.769 Sb
0.405 0.076 0.229 Sb
```

Calculated values
Density of states at the Fermi level ... 3.02 states/eV/cell
Calculated volume ... 34.96 Å³/atom
Formation energy from raw total energies ... -1097 meV/atom

***

5.
First-principles (GGA-PBE) data for a geometry-optimized Ac2HoTmSb4 structure, as listed in Alexandria.

POSCAR file:
```
Ac2HoTmSb4
1.0
-4.122 -1.046 -1.709
-0.872 -5.615 5.538
-2.866 6.859 2.715
Ac Ho Tm Sb
2 1 1 4
Direct
0.500 0.000 0.500 Ac
0.000 0.500 0.500 Ac
0.500 0.500 0.000 Ho
0.000 0.000 0.000 Tm
0.500 0.240 0.224 Sb
0.500 0.760 0.776 Sb
0.000 0.257 0.775 Sb
0.000 0.743 0.225 Sb
```

Calculated values
Density of states at the Fermi level ... 1.16 states/eV/cell
Calculated volume ... 33.91 Å³/atom
Formation energy from raw total energies ... -1130 meV/atom

***

6.
First-principles (GGA-PBE) data for a geometry-optimized AcHoZnSb structure, as listed in Alexandria.

POSCAR file:
```
AcHoZnSb
1.0
5.446 0.000 0.000
2.723 4.716 0.000
2.723 1.572 4.447
Sb Ac Ho Zn
1 1 1 1
Direct
0.000 0.000 0.000 Sb
0.750 0.750 0.750 Ac
0.250 0.250 0.250 Ho
0.500 0.500 0.500 Zn
```

Calculated values
Density of states at the Fermi level ... 3.65 states/eV/cell
Calculated volume ... 28.55 Å³/atom
Formation energy from raw total energies ... -481 meV/atom

***

Among the records above, which one has the lowest density of states at the Fermi level?
AcSm2HoSb4